This record from Alexandria via LeMat-Bulk describes an optimized crystal structure of MgBPt3. The functional is PBE.

abc: 5.613 5.613 4.642
angles: 97.09 97.09 90.16
Fractional coordinates of all 10 atoms:
Mg  0.000  0.000  0.000
Mg  0.575  0.425  0.000
B  0.057  0.405  0.364
B  0.595  0.943  0.636
Pt  0.085  0.498  0.948
Pt  0.253  0.120  0.553
Pt  0.381  0.619  0.500
Pt  0.502  0.915  0.052
Pt  0.747  0.253  0.500
Pt  0.880  0.747  0.447

## Properties
The formation energy from the elements is -0.5757 eV/atom. The density of states at the Fermi level comes out at 0.274 states/eV per atom.